Below is SrLiW after structural relaxation, with properties calculated at the PBE-GGA level.

## Properties
Energy relative to the elements in meV per atom: 1078
SG: P3m1, No. 156
Energy above the lowest structure with this stoichiometry in eV per atom: 0.097
N(E_F) in states/eV per cell: 3.04

Cell and atoms, written as POSCAR:
```
SrLiW
1.0
-0.3571 -0.9643 -2.8608
2.7239 -0.1838 1.3372
-1.8738 -7.5510 2.7791
Li Sr W
1 1 1
Direct
0.0000 0.0000 0.9640 Li
0.3333 0.6667 0.3548 Sr
0.6667 0.3333 0.6811 W
```